No. 1
# CeDyEr2As4

A geometry-optimized CeDyEr2As4 structure (GGA-PBE, Alexandria via LeMat-Bulk).

Unit cell a=7.134 b=4.126 c=7.140 alpha=90.00 beta=109.43 gamma=90.00
Space group P2/m (No. 10)
Asymmetric unit:
Ce1 0.000 0.000 0.000
Dy1 0.000 0.500 0.500
Er1 0.500 0.000 0.500
Er2 0.500 0.500 0.000
As1 0.253 0.000 0.750
As2 0.255 0.500 0.253

## Properties
The formation energy comes out at -1500 meV per atom. For the density of states at the Fermi level, the calculation gives 0.782 states/eV per atom.

---

No. 2
# Ce2DyErAs4

A geometry-optimized Ce2DyErAs4 structure (GGA-PBE, Alexandria via LeMat-Bulk).

Unit cell a=7.190 b=4.161 c=7.208 alpha=90.00 beta=109.51 gamma=90.00
Space group P2/m (No. 10)
Asymmetric unit:
Ce1 0.000 0.000 0.000
Ce2 0.000 0.500 0.500
Dy1 0.500 0.000 0.500
Er1 0.500 0.500 0.000
As1 0.255 0.500 0.251
As2 0.256 0.000 0.753

## Properties
The formation energy comes out at -1477 meV per atom. For the density of states at the Fermi level, the calculation gives 1.348 states/eV per atom.